(1)
The following is a DFT calculation (GGA-PBE) of an optimized crystal structure of CdPW2.

```
data_CdPW2
_symmetry_space_group_name_H-M 'C 1 m 1'
_symmetry_Int_Tables_number 8
_cell_length_a 8.465
_cell_length_b 2.919
_cell_length_c 6.918
_cell_angle_alpha 90.00
_cell_angle_beta 108.96
_cell_angle_gamma 90.00
loop_
_symmetry_equiv_pos_as_xyz
'x,y,z'
'x,-y,z'
'x+1/2,y+1/2,z'
'x+1/2,-y+1/2,z'
loop_
_atom_site_label
_atom_site_fract_x
_atom_site_fract_y
_atom_site_fract_z
Cd1 0.000 0.000 0.000
P1 0.170 0.000 0.696
W1 0.131 0.500 0.385
W2 0.422 0.000 0.586
```

Properties
Energy above the most stable polymorph in this dataset (eV per atom): 0.254
DFT formation energy (meV per atom): 507
M_tot (Bohr magnetons per cell): 0.0
Uncorrected energy (eV per formula unit): -30.20

(2)
The following is a DFT calculation (GGA-PBE) of an optimized crystal structure of Sm3Dy6YTm2.

```
data_Sm3Dy6YTm2
_symmetry_space_group_name_H-M 'C 1 2/m 1'
_symmetry_Int_Tables_number 12
_cell_length_a 6.166
_cell_length_b 10.670
_cell_length_c 11.784
_cell_angle_alpha 90.00
_cell_angle_beta 100.00
_cell_angle_gamma 90.00
loop_
_symmetry_equiv_pos_as_xyz
'x,y,z'
'-x,-y,-z'
'-x,y,-z'
'x,-y,z'
'x+1/2,y+1/2,z'
'-x+1/2,-y+1/2,-z'
'-x+1/2,y+1/2,-z'
'x+1/2,-y+1/2,z'
loop_
_atom_site_label
_atom_site_fract_x
_atom_site_fract_y
_atom_site_fract_z
Sm1 0.000 0.000 0.000
Sm2 0.000 0.333 0.000
Dy1 0.248 0.000 0.747
Dy2 0.249 0.333 0.747
Y1 0.000 0.500 0.500
Tm1 0.000 0.167 0.500
```

Properties
DFT formation energy (meV per atom): 19
M_tot (Bohr magnetons per cell): 0.0
Uncorrected energy (eV per formula unit): -56.95

(3)
The following is a DFT calculation (GGA-PBE) of an optimized crystal structure of GaB2As.

```
data_GaB2As
_symmetry_space_group_name_H-M 'P -1'
_symmetry_Int_Tables_number 2
_cell_length_a 4.394
_cell_length_b 5.118
_cell_length_c 5.591
_cell_angle_alpha 74.37
_cell_angle_beta 70.68
_cell_angle_gamma 82.13
loop_
_symmetry_equiv_pos_as_xyz
'x,y,z'
'-x,-y,-z'
loop_
_atom_site_label
_atom_site_fract_x
_atom_site_fract_y
_atom_site_fract_z
Ga1 0.013 0.217 0.257
B1 0.193 0.427 0.480
B2 0.329 0.087 0.568
As1 0.416 0.325 0.792
```

Properties
Energy above the most stable polymorph in this dataset (eV per atom): 0.035
DFT formation energy (meV per atom): 250
M_tot (Bohr magnetons per cell): 0.0
Uncorrected energy (eV per formula unit): -20.03